No. 1
Density functional theory data (PBE) for a geometry-optimized La4SnRu structure.

**DFT formation energy**: -0.438 eV per atom
**Fermi-level density of states**: 1.1912 states/eV/atom
**Total moment**: 0.0 μB/cell

a = 6.3501 Å, b = 8.5083 Å, c = 8.5083 Å
α = 115.84°, β = 103.18°, γ = 103.18°
Element x y z (fractional)
La  0.8468  0.6604  0.7969
La  0.0714  0.9294  0.2951
La  0.6532  0.2031  0.3396
La  0.4286  0.7049  0.0706
La  0.5714  0.2951  0.9294
La  0.3468  0.7969  0.6604
La  0.9286  0.0706  0.7049
La  0.1532  0.3396  0.2031
Sn  0.7500  0.6220  0.3780
Sn  0.2500  0.3780  0.6220
Ru  0.2500  0.9961  0.0039
Ru  0.7500  0.0039  0.9961

---

No. 2
Density functional theory data (PBE) for a geometry-optimized Ac2PuThO8 structure.

**Fermi-level density of states**: 0.4770 states/eV/atom
**Total moment**: 2.0 μB/cell
**E_tot**: -108.318 eV/cell

a = 4.1199 Å, b = 5.7956 Å, c = 7.8400 Å
α = 90.00°, β = 90.00°, γ = 95.32°
Each line ends with the local moment (μB).
Element x y z (fractional)
Ac  0.5000  0.5000  0.7509  -0.01
Ac  0.5000  0.5000  0.2491  -0.01
Pu  0.0000  0.0000  0.0000  2.59
Th  0.0000  0.0000  0.5000  0.00
O  0.0442  0.7763  0.2294  -0.06
O  0.5859  0.7945  0.0000  -0.12
O  0.9557  0.2237  0.2294  -0.06
O  0.9558  0.2237  0.7706  -0.06
O  0.4141  0.2055  0.0000  -0.12
O  0.0443  0.7763  0.7706  -0.06
O  0.5212  0.7614  0.5000  -0.01
O  0.4788  0.2386  0.5000  -0.01

---

No. 3
Density functional theory data (PBE) for a geometry-optimized CaErAlS4 structure.

**Total moment**: 0.0 μB/cell
**E_tot**: -76.996 eV/cell

a = 7.6078 Å, b = 7.7204 Å, c = 7.7204 Å
α = 60.87°, β = 60.48°, γ = 60.48°
Element x y z (fractional)
Ca  0.5000  0.0000  0.5000
Ca  0.0000  0.0000  0.5000
Er  0.0000  0.0000  0.0000
Er  0.0000  0.5000  0.5000
Al  0.6336  0.6164  0.1164
Al  0.3664  0.3836  0.8836
S  0.7522  0.7380  0.7576
S  0.2478  0.7424  0.7620
S  0.7522  0.2576  0.2380
S  0.2478  0.2620  0.2424
S  0.2579  0.7436  0.2436
S  0.7549  0.7436  0.2436
S  0.2451  0.2564  0.7564
S  0.7421  0.2564  0.7564

---

No. 4
Density functional theory data (PBE) for a geometry-optimized Ho7MgSc2 structure.

**DFT formation energy**: 0.637 eV per atom
**Fermi-level density of states**: 1.4615 states/eV/atom
**Total moment**: 0.0 μB/cell

a = 5.4572 Å, b = 8.5967 Å, c = 8.5967 Å
α = 118.99°, β = 90.00°, γ = 90.00°
Element x y z (fractional)
Ho  0.0000  0.7589  0.2411
Ho  0.0000  0.2411  0.7589
Ho  0.5000  0.0644  0.2976
Ho  0.5000  0.9356  0.7024
Ho  0.5000  0.2976  0.0644
Ho  0.5000  0.7024  0.9356
Ho  0.5000  0.5000  0.5000
Mg  0.0000  0.0000  0.0000
Sc  0.5000  0.7090  0.2910
Sc  0.5000  0.2910  0.7090

---

No. 5
Density functional theory data (PBE) for a geometry-optimized Pm12Y6Ho structure.

**DFT formation energy**: 0.138 eV per atom
**Fermi-level density of states**: 1.7677 states/eV/atom
**Total moment**: 0.0 μB/cell

a = 8.6720 Å, b = 8.6720 Å, c = 8.6720 Å
α = 89.21°, β = 89.21°, γ = 89.21°
Element x y z (fractional)
Pm  0.7791  0.5370  0.4338
Pm  0.4338  0.7791  0.5370
Pm  0.5370  0.4338  0.7791
Pm  0.2209  0.4630  0.5662
Pm  0.5662  0.2209  0.4630
Pm  0.4630  0.5662  0.2209
Pm  0.0181  0.1964  0.3604
Pm  0.8036  0.6396  0.9819
Pm  0.6396  0.9819  0.8036
Pm  0.9819  0.8036  0.6396
Pm  0.1964  0.3604  0.0181
Pm  0.3604  0.0181  0.1964
Y  0.7388  0.9020  0.2989
Y  0.7011  0.2612  0.0980
Y  0.0980  0.7011  0.2612
Y  0.2612  0.0980  0.7011
Y  0.2989  0.7388  0.9020
Y  0.9020  0.2989  0.7388
Ho  0.0000  0.0000  0.0000

---

No. 6
Density functional theory data (PBE) for a geometry-optimized Sr2Li2YIn5 structure.

**DFT formation energy**: -0.394 eV per atom
**Fermi-level density of states**: 0.4315 states/eV/atom
**Total moment**: 0.0 μB/cell

a = 4.6311 Å, b = 10.6402 Å, c = 10.6402 Å
α = 90.00°, β = 90.00°, γ = 90.00°
Element x y z (fractional)
Sr  0.0000  0.6804  0.1804
Sr  0.0000  0.3196  0.8196
Sr  0.0000  0.1804  0.3196
Sr  0.0000  0.8196  0.6804
Li  0.0000  0.1144  0.6144
Li  0.0000  0.8856  0.3856
Li  0.0000  0.6144  0.8856
Li  0.0000  0.3856  0.1144
Y  0.0000  0.0000  0.0000
Y  0.0000  0.5000  0.5000
In  0.5000  0.2100  0.0600
In  0.5000  0.7900  0.9400
In  0.5000  0.0600  0.7900
In  0.5000  0.7100  0.4400
In  0.5000  0.9400  0.2100
In  0.5000  0.2900  0.5600
In  0.5000  0.5600  0.7100
In  0.5000  0.4400  0.2900
In  0.5000  0.5000  0.0000
In  0.5000  0.0000  0.5000

---

No. 7
Density functional theory data (PBE) for a geometry-optimized Nd2ErTm9 structure.

**DFT formation energy**: 0.029 eV per atom
**Fermi-level density of states**: 1.4201 states/eV/atom
**Total moment**: 0.0 μB/cell

a = 4.9822 Å, b = 4.9822 Å, c = 14.9340 Å
α = 90.00°, β = 90.00°, γ = 90.00°
Element x y z (fractional)
Nd  0.0000  0.0000  0.3330
Nd  0.0000  0.0000  0.6670
Er  0.0000  0.0000  0.0000
Tm  0.5000  0.5000  0.0000
Tm  0.5000  0.5000  0.3317
Tm  0.5000  0.5000  0.6683
Tm  0.5000  0.0000  0.1641
Tm  0.5000  0.0000  0.5000
Tm  0.5000  0.0000  0.8359
Tm  0.0000  0.5000  0.1641
Tm  0.0000  0.5000  0.5000
Tm  0.0000  0.5000  0.8359

---

No. 8
Density functional theory data (PBE) for a geometry-optimized TmPuTh4 structure.

**DFT formation energy**: 0.161 eV per atom
**Fermi-level density of states**: 2.4863 states/eV/atom
**Total moment**: 6.4 μB/cell

a = 5.4395 Å, b = 5.4395 Å, c = 10.6684 Å
α = 49.99°, β = 49.99°, γ = 65.29°
Each line ends with the local moment (μB).
Element x y z (fractional)
Tm  0.5000  0.5000  0.5000  0.14
Pu  0.0000  0.0000  0.0000  5.46
Th  0.5204  0.5204  0.1473  0.13
Th  0.4796  0.4796  0.8527  0.13
Th  0.0110  0.0110  0.6589  0.01
Th  0.9890  0.9890  0.3411  0.01

---

No. 9
Density functional theory data (PBE) for a geometry-optimized Ca4Ag2Cl structure.

**Fermi-level density of states**: 0.9914 states/eV/atom
**Total moment**: 0.0 μB/cell
**E_tot**: -18.952 eV/cell

a = 5.4254 Å, b = 5.4254 Å, c = 8.4176 Å
α = 108.80°, β = 108.80°, γ = 90.00°
Element x y z (fractional)
Ca  0.7984  0.7984  0.5967
Ca  0.2016  0.2016  0.4033
Ca  0.0000  0.5000  0.0000
Ca  0.5000  0.0000  0.0000
Ag  0.6027  0.6027  0.2054
Ag  0.3973  0.3973  0.7946
Cl  0.0000  0.0000  0.0000

---

No. 10
Density functional theory data (PBE) for a geometry-optimized CsP structure.

**DFT formation energy**: 0.607 eV per atom
**Fermi-level density of states**: 1.0952 states/eV/atom
**Total moment**: 8.0 μB/cell

a = 7.3647 Å, b = 7.3647 Å, c = 7.3647 Å
α = 90.00°, β = 90.00°, γ = 90.00°
Each line ends with the local moment (μB).
Element x y z (fractional)
Cs  0.5000  0.5000  0.5000  0.06
Cs  0.5000  0.0000  0.0000  0.06
Cs  0.0000  0.5000  0.0000  0.06
Cs  0.0000  0.0000  0.5000  0.06
P  0.0000  0.0000  0.0000  0.77
P  0.0000  0.5000  0.5000  0.77
P  0.5000  0.0000  0.5000  0.77
P  0.5000  0.5000  0.0000  0.77

---

No. 11
Density functional theory data (PBE) for a geometry-optimized K2CeCuI6 structure.

**Fermi-level density of states**: 0.4156 states/eV/atom
**Total moment**: 2.0 μB/cell
**E_tot**: -65.309 eV/cell

a = 8.5194 Å, b = 9.4575 Å, c = 10.7649 Å
α = 90.00°, β = 88.79°, γ = 90.00°
Each line ends with the local moment (μB).
Element x y z (fractional)
K  0.0273  0.8995  0.2537  0.00
K  0.5273  0.6005  0.7537  0.00
K  0.9727  0.1005  0.7463  0.00
K  0.4727  0.3995  0.2463  0.00
Ce  0.5000  0.0000  0.0000  1.00
Ce  0.0000  0.5000  0.5000  1.00
Cu  0.5000  0.0000  0.5000  0.00
Cu  0.0000  0.5000  0.0000  0.00
I  0.3344  0.7107  0.0514  -0.01
I  0.8344  0.7893  0.5514  -0.01
I  0.6656  0.2893  0.9486  -0.01
I  0.1656  0.2107  0.4486  -0.01
I  0.3099  0.6645  0.4436  -0.01
I  0.8099  0.8355  0.9436  -0.01
I  0.6901  0.3355  0.5564  -0.01
I  0.1901  0.1645  0.0564  -0.01
I  0.8922  0.5315  0.2147  -0.01
I  0.3922  0.9685  0.7147  -0.01
I  0.1078  0.4685  0.7853  -0.01
I  0.6078  0.0315  0.2853  -0.01